[1]
The following is a PBE calculation of crystalline WIN3 at its relaxed geometry, from the Alexandria database.

Lattice parameters (Å, degrees): 3.9948 3.9948 3.9948 90.00 90.00 90.00
Last column: nearest neighbours and their distance in Å.
Sites, in units of the cell vectors:
I  0.0000  0.0000  0.0000  6 N 2.00
W  0.5000  0.5000  0.5000  12 N 2.82
N  0.0000  0.5000  0.0000  2 I 2.00
N  0.0000  0.0000  0.5000  2 I 2.00
N  0.5000  0.0000  0.0000  2 I 2.00

Computed properties:
The calculation puts the total energy at -5.202 eV/atom. The calculation puts the magnetic moment at 2.448 μB per cell. The calculated volume is 63.7 Å³/f.u. The uncorrected formation energy is 2.69 eV/atom.

---

[2]
The following is a PBE calculation of crystalline WIN2 at its relaxed geometry, from the Alexandria database.

Lattice parameters (Å, degrees): 6.1144 6.1144 6.1139 60.00 60.00 90.00
Last column: nearest neighbours and their distance in Å.
Sites, in units of the cell vectors:
I  0.5000  0.5000  0.0000  12 N 3.58-3.59, 4 I 3.74, 4 W 3.74
I  0.2500  0.7500  0.5000  12 N 3.58-3.59, 4 W 3.74, 4 I 3.74
W  0.0000  0.0000  0.0000  4 N 1.87
W  0.7500  0.2500  0.5000  4 N 1.87
N  0.8755  0.1250  0.2500  2 W 1.87
N  0.8745  0.6250  0.2500  2 W 1.87
N  0.3750  0.1245  0.7500  2 W 1.87
N  0.8750  0.1255  0.7500  2 W 1.87

Computed properties:
The calculation puts the total energy at -7.731 eV/atom. The calculation puts the magnetic moment at 1.984 μB per cell. For the distance to the lowest polymorph of the same formula, the calculation gives 0.00 eV/f.u. The calculated volume is 80.8 Å³/f.u. The uncorrected formation energy is 0.06 eV/atom.

---

[3]
The following is a PBE calculation of crystalline WIN2 at its relaxed geometry, from the Alexandria database.

Lattice parameters (Å, degrees): 10.2623 10.2623 10.2623 17.36 17.36 17.36
Last column: nearest neighbours and their distance in Å.
Sites, in units of the cell vectors:
I  0.0000  0.0000  0.0000  6 I 3.10
W  0.5000  0.5000  0.5000  6 N 2.05
N  0.8667  0.8667  0.8667  3 W 2.05
N  0.1333  0.1333  0.1333  3 W 2.05

Computed properties:
The calculation puts the total energy at -7.530 eV/atom. The calculation puts the magnetic moment at 0.000 μB per cell. For the distance to the lowest polymorph of the same formula, the calculation gives 0.80 eV/f.u. The calculated volume is 83.9 Å³/f.u. The uncorrected formation energy is 0.26 eV/atom.

---

[4]
The following is a PBE calculation of crystalline WIN2 at its relaxed geometry, from the Alexandria database.

Lattice parameters (Å, degrees): 7.4434 7.4434 7.4434 24.33 24.33 24.33
Last column: nearest neighbours and their distance in Å.
Sites, in units of the cell vectors:
I  0.5000  0.5000  0.5000  6 N 2.49
W  0.0000  0.0000  0.0000  2 N 1.90
N  0.9123  0.9123  0.9123  1 W 1.90
N  0.0877  0.0877  0.0877  1 W 1.90

Computed properties:
The calculation puts the total energy at -6.110 eV/atom. The calculation puts the magnetic moment at 0.000 μB per cell. For the distance to the lowest polymorph of the same formula, the calculation gives 6.49 eV/f.u. The calculated volume is 61.5 Å³/f.u. The uncorrected formation energy is 1.68 eV/atom.

---

[5]
The following is a PBE calculation of crystalline W2IN at its relaxed geometry, from the Alexandria database.

Lattice parameters (Å, degrees): 4.4049 4.4049 4.4049 60.00 60.00 60.00
Last column: nearest neighbours and their distance in Å.
Sites, in units of the cell vectors:
I  0.5000  0.5000  0.5000  8 W 2.70
W  0.2500  0.2500  0.2500  4 I 2.70, 4 N 2.70
W  0.7500  0.7500  0.7500  4 I 2.70, 4 N 2.70
N  0.0000  0.0000  0.0000  8 W 2.70

Computed properties:
The calculation puts the total energy at -7.165 eV/atom. The calculation puts the magnetic moment at 0.000 μB per cell. For the distance to the lowest polymorph of the same formula, the calculation gives 3.66 eV/f.u. The calculated volume is 60.4 Å³/f.u. The uncorrected formation energy is 1.78 eV/atom.

---

[6]
The following is a PBE calculation of crystalline WIN2 at its relaxed geometry, from the Alexandria database.

Lattice parameters (Å, degrees): 4.0832 4.0832 4.0832 60.00 60.00 60.00
Last column: nearest neighbours and their distance in Å.
Sites, in units of the cell vectors:
I  0.0000  0.0000  0.0000  8 N 2.50
W  0.5000  0.5000  0.5000  8 N 2.50
N  0.2500  0.2500  0.2500  4 W 2.50, 4 I 2.50
N  0.7500  0.7500  0.7500  4 W 2.50, 4 I 2.50

Computed properties:
The calculation puts the total energy at -5.930 eV/atom. The calculation puts the magnetic moment at 0.000 μB per cell. For the distance to the lowest polymorph of the same formula, the calculation gives 7.20 eV/f.u. The calculated volume is 48.1 Å³/f.u. The uncorrected formation energy is 1.86 eV/atom.

---

[7]
The following is a PBE calculation of crystalline WI2N at its relaxed geometry, from the Alexandria database.

Lattice parameters (Å, degrees): 6.2749 6.2749 6.6771 61.97 61.97 90.00
Last column: nearest neighbours and their distance in Å.
Sites, in units of the cell vectors:
I  0.6076  0.1250  0.2500  2 N 2.48, 2 W 2.61
I  0.1424  0.6250  0.2500  2 N 2.48, 2 W 2.61
I  0.3750  0.3924  0.7500  2 N 2.48, 2 W 2.61
I  0.8750  0.8576  0.7500  2 N 2.48, 2 W 2.61
W  0.0000  0.0000  0.0000  4 I 2.61
W  0.7500  0.2500  0.5000  4 I 2.61
N  0.5000  0.5000  0.0000  4 I 2.48
N  0.2500  0.7500  0.5000  4 I 2.48

Computed properties:
The calculation puts the total energy at -4.189 eV/atom. The calculation puts the magnetic moment at 0.006 μB per cell. For the distance to the lowest polymorph of the same formula, the calculation gives 0.03 eV/f.u. The calculated volume is 98.2 Å³/f.u. The uncorrected formation energy is 1.91 eV/atom.

---

[8]
The following is a PBE calculation of crystalline YWI2N at its relaxed geometry, from the Alexandria database.

Lattice parameters (Å, degrees): 5.6813 5.6813 3.8499 90.00 90.00 90.00
Last column: nearest neighbours and their distance in Å.
Sites, in units of the cell vectors:
I  0.0000  0.5000  0.0000  2 W 2.84
I  0.5000  0.0000  0.0000  2 W 2.84
Y  0.5000  0.5000  0.5000  8 I 3.43
W  0.0000  0.0000  0.0000  2 N 1.92
N  0.0000  0.0000  0.5000  2 W 1.92

Computed properties:
The calculation puts the total energy at -5.991 eV/atom. The calculation puts the magnetic moment at 0.000 μB per cell. For the distance to the lowest polymorph of the same formula, the calculation gives 0.00 eV/f.u. The calculated volume is 124.3 Å³/f.u. The uncorrected formation energy is 0.18 eV/atom.

---

[9]
The following is a PBE calculation of crystalline YWI2N at its relaxed geometry, from the Alexandria database.

Lattice parameters (Å, degrees): 6.1077 6.1077 4.0828 90.00 90.00 90.00
Last column: nearest neighbours and their distance in Å.
Sites, in units of the cell vectors:
I  0.0000  0.5000  0.0000  2 Y 3.05
I  0.5000  0.0000  0.0000  2 Y 3.05
Y  0.0000  0.0000  0.0000  2 N 2.04
W  0.5000  0.5000  0.5000  8 I 3.67, 2 W 4.08
N  0.0000  0.0000  0.5000  2 Y 2.04

Computed properties:
The calculation puts the total energy at -5.132 eV/atom. The calculation puts the magnetic moment at 4.757 μB per cell. For the distance to the lowest polymorph of the same formula, the calculation gives 4.29 eV/f.u. The calculated volume is 152.3 Å³/f.u. The uncorrected formation energy is 1.04 eV/atom.

---

[10]
The following is a PBE calculation of crystalline ZrWI2N at its relaxed geometry, from the Alexandria database.

Lattice parameters (Å, degrees): 5.9252 5.9252 3.9942 90.00 90.00 90.00
Last column: nearest neighbours and their distance in Å.
Sites, in units of the cell vectors:
I  0.0000  0.5000  0.0000  2 Zr 2.96
I  0.5000  0.0000  0.0000  2 Zr 2.96
Zr  0.0000  0.0000  0.0000  2 N 2.00
W  0.5000  0.5000  0.5000  8 I 3.57, 2 W 3.99
N  0.0000  0.0000  0.5000  2 Zr 2.00

Computed properties:
The calculation puts the total energy at -5.581 eV/atom. The calculation puts the magnetic moment at 4.892 μB per cell. For the distance to the lowest polymorph of the same formula, the calculation gives 1.91 eV/f.u. The calculated volume is 140.2 Å³/f.u. The uncorrected formation energy is 1.00 eV/atom.

---

[11]
The following is a PBE calculation of crystalline ZrWI2N at its relaxed geometry, from the Alexandria database.

Lattice parameters (Å, degrees): 5.6346 5.6346 3.8112 90.00 90.00 90.00
Last column: nearest neighbours and their distance in Å.
Sites, in units of the cell vectors:
I  0.0000  0.5000  0.0000  2 W 2.82
I  0.5000  0.0000  0.0000  2 W 2.82
Zr  0.5000  0.5000  0.5000  8 I 3.40
W  0.0000  0.0000  0.0000  2 N 1.91
N  0.0000  0.0000  0.5000  2 W 1.91

Computed properties:
The calculation puts the total energy at -5.964 eV/atom. The calculation puts the magnetic moment at 1.408 μB per cell. For the distance to the lowest polymorph of the same formula, the calculation gives 0.00 eV/f.u. The calculated volume is 121.0 Å³/f.u. The uncorrected formation energy is 0.62 eV/atom.

---

[12]
The following is a PBE calculation of crystalline YI3N at its relaxed geometry, from the Alexandria database.

Lattice parameters (Å, degrees): 7.7044 7.7138 9.5883 89.74 112.58 60.07
Last column: nearest neighbours and their distance in Å.
Sites, in units of the cell vectors:
Y  0.8504  0.3167  0.5264  6 I 3.05
Y  0.5178  0.9828  0.5281  6 I 3.05
I  0.0521  0.3568  0.3196  2 Y 3.05
I  0.3160  0.9429  0.7350  2 Y 3.05
I  0.6755  0.2243  0.7340  2 Y 3.05
I  0.4097  0.7173  0.3209  2 Y 3.05
I  0.6924  0.0754  0.3204  2 Y 3.05
I  0.9582  0.5823  0.7337  2 Y 3.05
N  0.4988  0.4904  0.0070  6 I 3.59-3.74
N  0.8698  0.8101  0.0472  6 I 3.60-3.74

Computed properties:
The calculation puts the total energy at -3.992 eV/atom. The calculation puts the magnetic moment at 5.932 μB per cell. For the distance to the lowest polymorph of the same formula, the calculation gives 0.00 eV/f.u. The calculated volume is 221.0 Å³/f.u. The uncorrected formation energy is -0.10 eV/atom.

---

[13]
The following is a PBE calculation of crystalline YI4N2 at its relaxed geometry, from the Alexandria database.

Lattice parameters (Å, degrees): 3.9164 10.0241 8.3073 65.65 76.38 112.82
Last column: nearest neighbours and their distance in Å.
Sites, in units of the cell vectors:
Y  0.0000  0.0000  0.0000  2 N 2.37
I  0.0195  0.7593  0.4855  2 N 2.14
I  0.9805  0.2407  0.5145  2 N 2.14
I  0.2512  0.7482  0.9976  2 Y 3.05
I  0.7488  0.2517  0.0024  2 Y 3.05
N  0.3509  0.1758  0.6451  2 I 2.14, 1 Y 2.37
N  0.6491  0.8242  0.3549  2 I 2.14, 1 Y 2.37

Computed properties:
The calculation puts the total energy at -4.092 eV/atom. The calculation puts the magnetic moment at 0.000 μB per cell. The calculated volume is 241.6 Å³/f.u. The uncorrected formation energy is 0.10 eV/atom.